(1)
This record from the Alexandria database describes a geometry-optimized Co2Mo4C structure. The functional is PBE.

Cell: 11.3028 11.3028 11.3028 Å, 90.00 90.00 90.00°
Space group Fd-3m (No. 227, origin choice 2)
One atom of each set of equivalent atoms:
Co (0.0441, 0.0441, 0.2059)
Mo (0.0000, 0.0000, 0.0000)
Mo (0.0620, 0.3750, 0.8750)
C (0.0000, 0.0000, 0.5000)

volume	1444.0	Å³/cell
crystal system	cubic
ΔE_f	-0.072	eV/atom
ρ	9.5	g/cm³
total moment	0.651	μB per formula unit


(2)
This record from the Alexandria database describes a geometry-optimized CoMo3C structure. The functional is PBE.

Cell: 2.9942 5.4477 8.6359 Å, 105.95 90.01 105.94°
Space group P-1 (No. 2)
One atom of each set of equivalent atoms:
Co (0.0337, 0.0690, 0.3825)
Mo (0.1476, 0.2938, 0.8870)
Mo (0.3207, 0.6390, 0.4047)
Mo (0.4076, 0.8181, 0.8347)
C (0.2244, 0.4481, 0.1480)

volume	129.8	Å³/cell
crystal system	triclinic
ΔE_f	0.044	eV/atom
ρ	9.2	g/cm³
total moment	0.196	μB per formula unit


(3)
This record from the Alexandria database describes a geometry-optimized CoMo6C structure. The functional is PBE.

Cell: 5.4447 5.4447 13.8450 Å, 90.00 90.00 120.00°
Space group R-3 (No. 148, hexagonal axes)
One atom of each set of equivalent atoms:
Co (0.0000, 0.0000, 0.0000)
Mo (0.0257, 0.6241, 0.9161)
C (0.0000, 0.0000, 0.5000)

volume	355.4	Å³/cell
crystal system	trigonal
ΔE_f	0.417	eV/atom
ρ	9.1	g/cm³
total moment	1.364	μB per formula unit


(4)
This record from the Alexandria database describes a geometry-optimized CoMoC3 structure. The functional is PBE.

Cell: 3.6660 3.6660 3.6660 Å, 90.00 90.00 90.00°
Space group Pm-3m (No. 221)
One atom of each set of equivalent atoms:
Co (0.0000, 0.0000, 0.0000)
Mo (0.5000, 0.5000, 0.5000)
C (0.0000, 0.0000, 0.5000)

volume	49.3	Å³/cell
crystal system	cubic
ΔE_f	2.072	eV/atom
ρ	6.4	g/cm³
total moment	0.000	μB per formula unit


(5)
This record from the Alexandria database describes a geometry-optimized CoMo3C structure. The functional is PBE.

Cell: 4.4101 4.4101 4.4101 Å, 90.00 90.00 90.00°
Space group Pm-3m (No. 221)
One atom of each set of equivalent atoms:
Co (0.0000, 0.0000, 0.0000)
Mo (0.0000, 0.0000, 0.5000)
C (0.5000, 0.5000, 0.5000)

volume	85.8	Å³/cell
crystal system	cubic
ΔE_f	2.385	eV/atom
ρ	6.9	g/cm³
total moment	0.000	μB per formula unit


(6)
This record from the Alexandria database describes a geometry-optimized Co3MoC structure. The functional is PBE.

Cell: 3.8004 3.8004 3.8004 Å, 90.00 90.00 90.00°
Space group Pm-3m (No. 221)
One atom of each set of equivalent atoms:
Co (0.0000, 0.0000, 0.5000)
Mo (0.5000, 0.5000, 0.5000)
C (0.0000, 0.0000, 0.0000)

volume	54.9	Å³/cell
crystal system	cubic
ΔE_f	0.302	eV/atom
ρ	8.6	g/cm³
total moment	4.467	μB per formula unit